[1]
# SbW2Au2

A relaxed SbW2Au2 crystal (PBE-GGA, Alexandria via LeMat-Bulk).

Properties
N(E_F) ... 7.32 states/eV/cell
ΔE_f (raw) ... 15.5 kcal/mol of atoms

a b c (Å): 8.325 8.325 2.835
angles (deg): 90.00 90.00 90.00
Element x y z (fractional)
1 Sb 0.000 0.000 0.000
2 Sb 0.500 0.500 0.000
3 W 0.894 0.394 0.500
4 W 0.106 0.606 0.500
5 W 0.394 0.106 0.500
6 W 0.606 0.894 0.500
7 Au 0.185 0.315 0.000
8 Au 0.685 0.185 0.000
9 Au 0.815 0.685 0.000
10 Au 0.315 0.815 0.000

=====

[2]
# SbWAu

A relaxed SbWAu crystal (PBE-GGA, Alexandria via LeMat-Bulk).

Properties
N(E_F) ... 1.63 states/eV/cell
ΔE_f (raw) ... 13.6 kcal/mol of atoms

a b c (Å): 7.815 7.824 2.990
angles (deg): 78.82 79.14 22.05
Element x y z (fractional)
1 W 0.338 0.338 0.662
2 Au 0.960 0.960 0.040
3 Sb 0.702 0.702 0.298

=====

[3]
# SbWAu

A relaxed SbWAu crystal (PBE-GGA, Alexandria via LeMat-Bulk).

Properties
N(E_F) ... 2.30 states/eV/cell
ΔE_f (raw) ... 13.3 kcal/mol of atoms

a b c (Å): 3.176 3.176 6.727
angles (deg): 90.00 90.00 120.00
Element x y z (fractional)
1 Au 0.000 0.000 0.983
2 W 0.333 0.667 0.665
3 Sb 0.667 0.333 0.352

=====

[4]
# SbWAu

A relaxed SbWAu crystal (PBE-GGA, Alexandria via LeMat-Bulk).

Properties
N(E_F) ... 2.64 states/eV/cell
ΔE_f (raw) ... 21.3 kcal/mol of atoms

a b c (Å): 4.499 4.499 4.499
angles (deg): 60.00 60.00 60.00
Element x y z (fractional)
1 Au 0.500 0.500 0.500
2 W 0.000 0.000 0.000
3 Sb 0.750 0.750 0.750

=====

[5]
# Sb3WAu

A relaxed Sb3WAu crystal (PBE-GGA, Alexandria via LeMat-Bulk).

Properties
N(E_F) ... 3.59 states/eV/cell
ΔE_f (raw) ... 15.9 kcal/mol of atoms

a b c (Å): 5.218 5.218 5.218
angles (deg): 90.00 90.00 90.00
Element x y z (fractional)
1 Sb 0.000 0.500 0.000
2 Sb 0.000 0.000 0.500
3 Sb 0.500 0.000 0.000
4 W 0.000 0.000 0.000
5 Au 0.500 0.500 0.500

=====

[6]
# Sb2W2Au

A relaxed Sb2W2Au crystal (PBE-GGA, Alexandria via LeMat-Bulk).

Properties
N(E_F) ... 3.23 states/eV/cell
ΔE_f (raw) ... 21.5 kcal/mol of atoms

a b c (Å): 4.807 4.807 6.061
angles (deg): 66.64 66.64 90.00
Element x y z (fractional)
1 W 0.617 0.617 0.766
2 W 0.383 0.383 0.234
3 Sb 0.750 0.250 0.500
4 Sb 0.250 0.750 0.500
5 Au 0.000 0.000 0.000

=====

[7]
# Sb3WAu

A relaxed Sb3WAu crystal (PBE-GGA, Alexandria via LeMat-Bulk).

Properties
N(E_F) ... 3.88 states/eV/cell
ΔE_f (raw) ... 35.0 kcal/mol of atoms

a b c (Å): 5.293 5.293 5.293
angles (deg): 90.00 90.00 90.00
Element x y z (fractional)
1 Sb 0.500 0.000 0.000
2 Sb 0.000 0.000 0.500
3 Sb 0.000 0.500 0.000
4 Au 0.000 0.000 0.000
5 W 0.500 0.500 0.500

=====

[8]
# SbW2Au2

A relaxed SbW2Au2 crystal (PBE-GGA, Alexandria via LeMat-Bulk).

Properties
N(E_F) ... 2.80 states/eV/cell
ΔE_f (raw) ... 13.4 kcal/mol of atoms

a b c (Å): 3.724 3.724 7.626
angles (deg): 75.87 75.87 90.00
Element x y z (fractional)
1 Sb 0.000 0.000 0.000
2 Au 0.600 0.600 0.799
3 Au 0.400 0.400 0.201
4 W 0.250 0.750 0.500
5 W 0.750 0.250 0.500

=====

[9]
# Sb4WAu

A relaxed Sb4WAu crystal (PBE-GGA, Alexandria via LeMat-Bulk).

Properties
N(E_F) ... 4.09 states/eV/cell
ΔE_f (raw) ... 27.3 kcal/mol of atoms

a b c (Å): 6.059 6.059 6.059
angles (deg): 60.00 60.00 60.00
Element x y z (fractional)
1 Au 0.000 0.000 0.000
2 Sb 0.877 0.374 0.374
3 Sb 0.374 0.374 0.374
4 Sb 0.374 0.877 0.374
5 Sb 0.374 0.374 0.877
6 W 0.750 0.750 0.750

=====

[10]
# Sb2W2Au

A relaxed Sb2W2Au crystal (PBE-GGA, Alexandria via LeMat-Bulk).

Properties
N(E_F) ... 6.07 states/eV/cell
ΔE_f (raw) ... 10.7 kcal/mol of atoms

a b c (Å): 7.407 7.407 3.570
angles (deg): 90.00 90.00 90.00
Element x y z (fractional)
1 Sb 0.660 0.840 0.500
2 Sb 0.340 0.160 0.500
3 Sb 0.840 0.340 0.500
4 Sb 0.160 0.660 0.500
5 Au 0.000 0.000 0.000
6 Au 0.500 0.500 0.000
7 W 0.866 0.634 0.000
8 W 0.366 0.866 0.000
9 W 0.634 0.134 0.000
10 W 0.134 0.366 0.000

=====

[11]
# Y2SbAu2

A relaxed Y2SbAu2 crystal (PBE-GGA, Alexandria via LeMat-Bulk).

Properties
N(E_F) ... 4.00 states/eV/cell
ΔE_f (raw) ... -19.7 kcal/mol of atoms

a b c (Å): 7.721 7.721 4.055
angles (deg): 90.00 90.00 90.00
Element x y z (fractional)
1 Y 0.171 0.671 0.500
2 Y 0.671 0.829 0.500
3 Y 0.829 0.329 0.500
4 Y 0.329 0.171 0.500
5 Au 0.628 0.128 0.000
6 Au 0.128 0.372 0.000
7 Au 0.872 0.628 0.000
8 Au 0.372 0.872 0.000
9 Sb 0.500 0.500 0.000
10 Sb 0.000 0.000 0.000

=====

[12]
# YSbAu

A relaxed YSbAu crystal (PBE-GGA, Alexandria via LeMat-Bulk).

Properties
N(E_F) ... 1.89 states/eV/cell
ΔE_f (raw) ... -14.3 kcal/mol of atoms

a b c (Å): 5.962 5.962 3.713
angles (deg): 71.86 71.85 36.28
Element x y z (fractional)
1 Y 0.650 0.650 0.350
2 Sb 0.344 0.344 0.656
3 Au 0.006 0.006 0.994

=====

[13]
# Y2SbAu

A relaxed Y2SbAu crystal (PBE-GGA, Alexandria via LeMat-Bulk).

Properties
N(E_F) ... 3.46 states/eV/cell
ΔE_f (raw) ... -20.0 kcal/mol of atoms

a b c (Å): 4.291 4.291 7.515
angles (deg): 73.56 73.56 59.77
Element x y z (fractional)
1 Y 0.498 0.498 0.508
2 Y 0.002 0.002 0.992
3 Au 0.750 0.750 0.750
4 Sb 0.250 0.250 0.250

=====

[14]
# Y2Sb2Au

A relaxed Y2Sb2Au crystal (PBE-GGA, Alexandria via LeMat-Bulk).

Properties
N(E_F) ... 12.93 states/eV/cell
ΔE_f (raw) ... -16.5 kcal/mol of atoms

a b c (Å): 8.023 8.023 4.281
angles (deg): 90.00 90.00 90.00
Element x y z (fractional)
1 Sb 0.139 0.639 0.500
2 Sb 0.639 0.861 0.500
3 Sb 0.361 0.139 0.500
4 Sb 0.861 0.361 0.500
5 Y 0.166 0.334 0.000
6 Y 0.834 0.666 0.000
7 Y 0.334 0.834 0.000
8 Y 0.666 0.166 0.000
9 Au 0.000 0.000 0.000
10 Au 0.500 0.500 0.000